Rb2ScPd3F12: optimized geometry, PBE.

```
Rb2ScPd3F12
1.0
-5.404 -5.636 0.505
-2.163 -3.089 6.856
-7.071 1.281 3.095
Rb Sc Pd F
2 1 3 12
direct
0.626 0.626 0.626
0.374 0.374 0.374
0.000 0.000 0.000
0.500 0.000 0.000
0.000 0.500 0.000
0.000 0.000 0.500
0.334 0.334 0.925
0.926 0.926 0.317
0.317 0.926 0.926
0.925 0.334 0.334
0.926 0.317 0.926
0.334 0.925 0.334
0.666 0.666 0.075
0.074 0.074 0.683
0.683 0.074 0.074
0.075 0.666 0.666
0.074 0.683 0.074
0.666 0.075 0.666
```

Properties
- Formation energy (no corrections): -2.178 eV/atom
- VASP energy: -85.51 eV/cell
- Symmetry: R-3m, No. 166
- Crystal system: trigonal
- Volume: 322.2 Å³ per cell

---

Rb2PdSeF: optimized geometry, PBE.

```
Rb2PdSeF
1.0
-0.563 -3.835 -5.273
4.162 1.356 -1.430
2.744 -4.940 3.301
Se Rb Pd F
1 2 1 1
direct
0.000 0.000 0.000
0.000 0.000 0.500
0.500 0.000 0.000
0.000 0.500 0.000
0.500 0.500 0.500
```

Properties
- Formation energy (no corrections): -1.007 eV/atom
- VASP energy: -17.52 eV/cell
- Symmetry: P4/mmm, No. 123
- Crystal system: tetragonal
- Volume: 197.2 Å³ per cell

---

Rb2SiPdF6: optimized geometry, PBE.

```
Rb2SiPdF6
1.0
6.305 0.000 0.000
0.000 6.305 0.000
3.153 3.153 4.461
Si Rb Pd F
1 2 1 6
direct
0.500 0.500 0.000
0.750 0.250 0.500
0.250 0.750 0.500
0.000 0.000 0.000
0.307 0.307 0.386
0.693 0.693 0.614
0.307 0.307 0.000
0.693 0.693 0.000
0.693 0.307 0.000
0.307 0.693 0.000
```

Properties
- Formation energy (no corrections): -2.469 eV/atom
- VASP energy: -48.47 eV/cell
- Symmetry: Fm-3m, No. 225
- Crystal system: cubic
- Volume: 177.3 Å³ per cell

---

RbSmPdF6: optimized geometry, PBE.

```
RbSmPdF6
1.0
-6.680 3.428 3.895
-3.843 0.443 -6.980
3.061 -7.220 2.419
Rb Sm Pd F
2 2 2 12
direct
0.802 0.552 0.604
0.198 0.448 0.396
0.500 0.000 0.500
0.000 0.000 0.500
0.500 0.500 0.000
0.500 0.000 0.000
0.430 0.680 0.859
0.822 0.072 0.644
0.819 0.097 0.267
0.448 0.670 0.267
0.448 0.097 0.267
0.819 0.670 0.267
0.570 0.320 0.141
0.178 0.928 0.356
0.181 0.903 0.733
0.552 0.330 0.733
0.552 0.903 0.733
0.181 0.330 0.733
```

Properties
- Formation energy (no corrections): -2.747 eV/atom
- VASP energy: -93.66 eV/cell
- Symmetry: Imma, No. 74
- Crystal system: orthorhombic
- Volume: 390.9 Å³ per cell

---

Rb3SrPd2F9: optimized geometry, PBE.

```
Rb3SrPd2F9
1.0
6.311 0.000 0.000
-3.156 5.466 0.000
0.000 0.000 7.869
Rb Sr Pd F
3 1 2 9
direct
0.333 0.667 0.689
0.000 0.000 0.000
0.667 0.333 0.311
0.000 0.000 0.500
0.333 0.667 0.152
0.667 0.333 0.848
0.829 0.171 0.685
0.829 0.658 0.685
0.342 0.171 0.685
0.658 0.829 0.315
0.171 0.342 0.315
0.171 0.829 0.315
0.500 0.000 0.000
0.000 0.500 0.000
0.500 0.500 0.000
```

Properties
- Formation energy (no corrections): -2.340 eV/atom
- VASP energy: -66.92 eV/cell
- Symmetry: P-3m1, No. 164
- Crystal system: trigonal
- Volume: 271.4 Å³ per cell

---

Rb2TaPdF6: optimized geometry, PBE.

```
Rb2TaPdF6
1.0
6.571 0.000 0.000
0.000 6.571 0.000
3.286 3.286 4.965
F Rb Pd Ta
6 2 1 1
direct
0.201 0.201 0.598
0.799 0.799 0.402
0.212 0.212 0.000
0.788 0.788 0.000
0.788 0.212 0.000
0.212 0.788 0.000
0.750 0.250 0.500
0.250 0.750 0.500
0.500 0.500 0.000
0.000 0.000 0.000
```

Properties
- Formation energy (no corrections): -2.318 eV/atom
- VASP energy: -53.39 eV/cell
- Symmetry: I4/mmm, No. 139
- Crystal system: tetragonal
- Volume: 214.4 Å³ per cell

---

Rb2TePdF6: optimized geometry, PBE.

```
Rb2TePdF6
1.0
-3.349 0.068 5.626
1.085 -6.417 0.723
2.775 -2.253 5.489
Te Rb Pd F
1 2 1 6
direct
0.000 0.000 0.000
0.750 0.250 0.500
0.250 0.750 0.500
0.500 0.500 0.000
0.234 0.234 0.533
0.766 0.766 0.467
0.234 0.234 0.000
0.766 0.766 0.000
0.766 0.234 0.000
0.234 0.766 0.000
```

Properties
- Formation energy (no corrections): -1.899 eV/atom
- VASP energy: -40.49 eV/cell
- Symmetry: Fm-3m, No. 225
- Crystal system: cubic
- Volume: 198.7 Å³ per cell

---

Rb2TiPdF6: optimized geometry, PBE.

```
Rb2TiPdF6
1.0
-6.128 2.134 -2.261
-0.528 -5.638 -3.892
-5.143 -3.705 -0.001
F Rb Pd Ti
6 2 1 1
direct
0.265 0.265 0.471
0.735 0.735 0.529
0.304 0.304 0.000
0.696 0.696 0.000
0.696 0.304 0.000
0.304 0.696 0.000
0.750 0.250 0.500
0.250 0.750 0.500
0.000 0.000 0.000
0.500 0.500 0.000
```

Properties
- Formation energy (no corrections): -2.616 eV/atom
- VASP energy: -52.41 eV/cell
- Symmetry: I4/mmm, No. 139
- Crystal system: tetragonal
- Volume: 192.2 Å³ per cell

---

RbTiPdF6: optimized geometry, PBE.

```
RbTiPdF6
1.0
5.979 -0.010 0.049
2.981 5.220 -0.064
0.048 -0.099 5.511
Rb Ti Pd F
1 1 1 6
direct
0.013 0.010 0.001
0.336 0.336 0.500
0.690 0.692 0.500
0.029 0.369 0.339
0.366 0.032 0.659
0.618 0.303 0.665
0.101 0.540 0.751
0.309 0.616 0.337
0.537 0.103 0.247
```

Properties
- Formation energy (no corrections): -2.647 eV/atom
- VASP energy: -49.11 eV/cell
- Symmetry: P1, No. 1
- Crystal system: triclinic
- Volume: 172.1 Å³ per cell

---

RbTlPd2F: optimized geometry, PBE.

```
RbTlPd2F
1.0
5.207 0.000 0.000
0.000 5.169 0.000
0.000 0.000 5.207
Tl Rb Pd F
1 1 2 1
direct
0.000 0.000 0.000
0.500 0.500 0.500
0.000 0.000 0.500
0.500 0.000 0.000
0.000 0.500 0.000
```

Properties
- Formation energy (no corrections): -0.336 eV/atom
- VASP energy: -17.27 eV/cell
- Symmetry: P4/mmm, No. 123
- Crystal system: tetragonal
- Volume: 140.1 Å³ per cell

---

Rb2TlPdF6: optimized geometry, PBE.

```
Rb2TlPdF6
1.0
6.495 0.000 0.000
3.247 5.625 0.000
3.247 1.875 5.303
Rb Tl Pd F
2 1 1 6
direct
0.750 0.750 0.750
0.250 0.250 0.250
0.500 0.500 0.500
0.000 0.000 0.000
0.771 0.229 0.229
0.229 0.229 0.771
0.229 0.771 0.771
0.229 0.771 0.229
0.771 0.229 0.771
0.771 0.771 0.229
```

Properties
- Formation energy (no corrections): -2.039 eV/atom
- VASP energy: -41.11 eV/cell
- Symmetry: Fm-3m, No. 225
- Crystal system: cubic
- Volume: 193.7 Å³ per cell

---

RbTmPdF6: optimized geometry, PBE.

```
RbTmPdF6
1.0
6.326 -0.013 0.269
3.133 4.810 0.140
0.295 0.006 6.069
Rb Tm Pd F
1 1 1 6
direct
0.024 0.949 0.001
0.681 0.638 0.500
0.334 0.331 0.501
0.924 0.405 0.240
0.333 0.015 0.659
0.676 0.395 0.756
0.997 0.622 0.651
0.379 0.625 0.349
0.650 0.020 0.344
```

Properties
- Formation energy (no corrections): -2.819 eV/atom
- VASP energy: -47.24 eV/cell
- Symmetry: P1, No. 1
- Crystal system: triclinic
- Volume: 184.6 Å³ per cell

---

Rb2TmPd3F12: optimized geometry, PBE.

```
Rb2TmPd3F12
1.0
-0.611 -7.707 -1.850
4.119 -3.301 -5.944
5.906 -5.171 1.257
Rb Tm Pd F
2 1 3 12
direct
0.618 0.618 0.618
0.382 0.382 0.382
0.000 0.000 0.000
0.500 0.000 0.000
0.000 0.500 0.000
0.000 0.000 0.500
0.330 0.330 0.919
0.921 0.921 0.331
0.331 0.921 0.921
0.919 0.330 0.330
0.921 0.331 0.921
0.330 0.919 0.330
0.670 0.670 0.081
0.079 0.079 0.669
0.669 0.079 0.079
0.081 0.670 0.670
0.079 0.669 0.079
0.670 0.081 0.670
```

Properties
- Formation energy (no corrections): -2.206 eV/atom
- VASP energy: -84.14 eV/cell
- Symmetry: R-3m, No. 166
- Crystal system: trigonal
- Volume: 335.1 Å³ per cell